{
  "formula": "LiNd2TlMo4O16",
  "functional": "PBE with a Hubbard U",
  "state": "optimized geometry",
  "m_tot_mub_per_cell": 0.000,
  "spacegroup": "C2/c, No. 15",
  "e_tot_ev_per_cell": -341.73,
  "lattice": [[2.7091, -6.5575, 0.0000], [2.7091, 6.5575, 0.0000], [-1.5690, 0.0000, 20.0822]],
  "species": ["Li", "Li", "Nd", "Nd", "Nd", "Nd", "Tl", "Tl", "Mo", "Mo", "Mo", "Mo", "Mo", "Mo", "Mo", "Mo", "O", "O", "O", "O", "O", "O", "O", "O", "O", "O", "O", "O", "O", "O", "O", "O", "O", "O", "O", "O", "O", "O", "O", "O", "O", "O", "O", "O", "O", "O", "O", "O"],
  "fractional_positions": [[0.1858, 0.8142, 0.7500], [0.8142, 0.1858, 0.2500], [0.3529, 0.6456, 0.9672], [0.3544, 0.6471, 0.5328], [0.6456, 0.3529, 0.4672], [0.6471, 0.3544, 0.0328], [0.4650, 0.5350, 0.7500], [0.5350, 0.4650, 0.2500], [0.0387, 0.9137, 0.9084], [0.0863, 0.9613, 0.5916], [0.2270, 0.7319, 0.3533], [0.2681, 0.7730, 0.1467], [0.7319, 0.2270, 0.8533], [0.7730, 0.2681, 0.6467], [0.9137, 0.0387, 0.4084], [0.9613, 0.0863, 0.0916], [0.0093, 0.8205, 0.6692], [0.0104, 0.6792, 0.9588], [0.0235, 0.4456, 0.7135], [0.0752, 0.3919, 0.8677], [0.0823, 0.5611, 0.4323], [0.1795, 0.9907, 0.8308], [0.1806, 0.2717, 0.5998], [0.2353, 0.2761, 0.4597], [0.2551, 0.5236, 0.1671], [0.2717, 0.1806, 0.0998], [0.2761, 0.2353, 0.9597], [0.3208, 0.9896, 0.5412], [0.3919, 0.0752, 0.3677], [0.4389, 0.9177, 0.0677], [0.4456, 0.0235, 0.2135], [0.4764, 0.7449, 0.3329], [0.5236, 0.2551, 0.6671], [0.5544, 0.9765, 0.7865], [0.5611, 0.0823, 0.9323], [0.6081, 0.9248, 0.6323], [0.6792, 0.0104, 0.4588], [0.7239, 0.7647, 0.0403], [0.7283, 0.8194, 0.9002], [0.7449, 0.4764, 0.8329], [0.7647, 0.7239, 0.5403], [0.8194, 0.7283, 0.4002], [0.8205, 0.0093, 0.1692], [0.9177, 0.4389, 0.5677], [0.9248, 0.6081, 0.1323], [0.9765, 0.5544, 0.2865], [0.9896, 0.3208, 0.0412], [0.9907, 0.1795, 0.3308]]
}